No. 1
# Cr3HgW GGA-PBEsol optimized geometry
data_Cr3HgW
_cell_length_a 4.625
_cell_length_b 4.625
_cell_length_c 4.625
_cell_angle_alpha 90.00
_cell_angle_beta 90.00
_cell_angle_gamma 90.00
_symmetry_space_group_name_H-M 'P m -3 m'
_symmetry_Int_Tables_number 221
_symmetry_space_group_name_Hall '-P 4 2 3'
loop_
_atom_site_label
_atom_site_type_symbol
_atom_site_fract_x
_atom_site_fract_y
_atom_site_fract_z
Cr1 Cr 0.000 0.000 0.500
Hg1 Hg 0.500 0.500 0.500
W1 W 0.000 0.000 0.000
# * energy relative to the elements: 156 kJ/mol of atoms



No. 2
# La2AsP GGA-PBEsol optimized geometry
data_La2AsP
_cell_length_a 4.2711
_cell_length_b 4.2711
_cell_length_c 20.9313
_cell_angle_alpha 90.00
_cell_angle_beta 90.00
_cell_angle_gamma 120.00
_symmetry_space_group_name_H-M 'R -3 m'
_symmetry_Int_Tables_number 166
_symmetry_space_group_name_Hall '-R 3 2"'
loop_
_atom_site_label
_atom_site_type_symbol
_atom_site_fract_x
_atom_site_fract_y
_atom_site_fract_z
La1 La 0.0000 0.0000 0.2480
As1 As 0.0000 0.0000 0.0000
P1 P 0.0000 0.0000 0.5000
# * energy relative to the elements: -149 kJ/mol of atoms
# * distance to the lowest polymorph of the same formula: 0 meV per atom



No. 3
# BaTePd2 GGA-PBEsol optimized geometry
data_BaTePd2
_cell_length_a 5.231
_cell_length_b 5.231
_cell_length_c 17.294
_cell_angle_alpha 90.00
_cell_angle_beta 90.00
_cell_angle_gamma 90.00
_symmetry_space_group_name_H-M 'I -4 2 d'
_symmetry_Int_Tables_number 122
_symmetry_space_group_name_Hall 'I -4 2bw'
loop_
_atom_site_label
_atom_site_type_symbol
_atom_site_fract_x
_atom_site_fract_y
_atom_site_fract_z
Ba1 Ba 0.000 0.000 0.000
Te1 Te 0.000 0.000 0.500
Pd1 Pd 0.051 0.250 0.625
# * formation energy (no corrections): -646 meV/atom



No. 4
# TaMoW2 GGA-PBEsol optimized geometry
data_TaMoW2
_cell_length_a 3.173
_cell_length_b 4.470
_cell_length_c 4.502
_cell_angle_alpha 90.00
_cell_angle_beta 90.00
_cell_angle_gamma 90.00
_symmetry_space_group_name_H-M 'P m m m'
_symmetry_Int_Tables_number 47
loop_
_symmetry_equiv_pos_as_xyz
'x,y,z'
'-x,-y,-z'
'-x,-y,z'
'x,y,-z'
'x,-y,-z'
'-x,y,z'
'-x,y,-z'
'x,-y,z'
loop_
_atom_site_label
_atom_site_type_symbol
_atom_site_fract_x
_atom_site_fract_y
_atom_site_fract_z
Ta1 Ta 0.000 0.000 0.000
Mo1 Mo 0.500 0.500 0.000
W1 W 0.000 0.500 0.500
W2 W 0.500 0.000 0.500
# * energy relative to the elements: -10 kJ/mol of atoms
# * distance to the lowest polymorph of the same formula: 7 meV per atom



No. 5
# K3Tl GGA-PBEsol optimized geometry
data_K3Tl
_cell_length_a 5.707
_cell_length_b 5.707
_cell_length_c 5.707
_cell_angle_alpha 90.00
_cell_angle_beta 90.00
_cell_angle_gamma 90.00
_symmetry_space_group_name_H-M 'P m -3 m'
_symmetry_Int_Tables_number 221
_symmetry_space_group_name_Hall '-P 4 2 3'
loop_
_atom_site_label
_atom_site_type_symbol
_atom_site_fract_x
_atom_site_fract_y
_atom_site_fract_z
K1 K 0.000 0.000 0.500
Tl1 Tl 0.500 0.500 0.500
# * energy relative to the elements: 4 kJ/mol of atoms



No. 6
# Ga2SiI GGA-PBEsol optimized geometry
data_Ga2SiI
_cell_length_a 7.037
_cell_length_b 7.037
_cell_length_c 7.037
_cell_angle_alpha 90.00
_cell_angle_beta 90.00
_cell_angle_gamma 90.00
_symmetry_space_group_name_H-M 'F m -3 m'
_symmetry_Int_Tables_number 225
_symmetry_space_group_name_Hall '-F 4 2 3'
loop_
_atom_site_label
_atom_site_type_symbol
_atom_site_fract_x
_atom_site_fract_y
_atom_site_fract_z
Ga1 Ga 0.250 0.250 0.250
Si1 Si 0.000 0.000 0.000
I1 I 0.000 0.000 0.500
# * formation energy (no corrections): 447 meV/atom



No. 7
# LiTaCu2 GGA-PBEsol optimized geometry
data_LiTaCu2
_cell_length_a 2.595
_cell_length_b 4.480
_cell_length_c 4.713
_cell_angle_alpha 90.00
_cell_angle_beta 90.00
_cell_angle_gamma 90.00
_symmetry_space_group_name_H-M 'P m m 2'
_symmetry_Int_Tables_number 25
loop_
_symmetry_equiv_pos_as_xyz
'x,y,z'
'-x,-y,z'
'-x,y,z'
'x,-y,z'
loop_
_atom_site_label
_atom_site_type_symbol
_atom_site_fract_x
_atom_site_fract_y
_atom_site_fract_z
Li1 Li 0.000 0.000 0.000
Ta1 Ta 0.000 0.500 0.597
Cu1 Cu 0.500 0.000 0.473
Cu2 Cu 0.500 0.500 0.103
# * energy relative to the elements: 11 kJ/mol of atoms



No. 8
# NaIn2AsW GGA-PBEsol optimized geometry
data_NaIn2AsW
_cell_length_a 5.020
_cell_length_b 5.020
_cell_length_c 5.034
_cell_angle_alpha 90.00
_cell_angle_beta 90.00
_cell_angle_gamma 90.00
_symmetry_space_group_name_H-M 'P 4/m m m'
_symmetry_Int_Tables_number 123
_symmetry_space_group_name_Hall '-P 4 2'
loop_
_atom_site_label
_atom_site_type_symbol
_atom_site_fract_x
_atom_site_fract_y
_atom_site_fract_z
Na1 Na 0.000 0.000 0.000
In1 In 0.000 0.500 0.000
As1 As 0.500 0.500 0.500
W1 W 0.000 0.000 0.500
# * energy relative to the elements: 181 kJ/mol of atoms



No. 9
# ZrZn2Pt2 GGA-PBEsol optimized geometry
data_ZrZn2Pt2
_cell_length_a 3.551
_cell_length_b 3.551
_cell_length_c 13.044
_cell_angle_alpha 90.00
_cell_angle_beta 90.00
_cell_angle_gamma 90.00
_symmetry_space_group_name_H-M 'I 4/m m m'
_symmetry_Int_Tables_number 139
_symmetry_space_group_name_Hall '-I 4 2'
loop_
_atom_site_label
_atom_site_type_symbol
_atom_site_fract_x
_atom_site_fract_y
_atom_site_fract_z
Zr1 Zr 0.000 0.000 0.000
Zn1 Zn 0.000 0.500 0.250
Pt1 Pt 0.000 0.000 0.398
# * energy relative to the elements: -63 kJ/mol of atoms
# * distance to the lowest polymorph of the same formula: 0 meV per atom



No. 10
# Ni2Sb2Au GGA-PBEsol optimized geometry
data_Ni2Sb2Au
_cell_length_a 4.955
_cell_length_b 4.955
_cell_length_c 7.397
_cell_angle_alpha 90.00
_cell_angle_beta 90.00
_cell_angle_gamma 90.00
_symmetry_space_group_name_H-M 'I 4/m m m'
_symmetry_Int_Tables_number 139
_symmetry_space_group_name_Hall '-I 4 2'
loop_
_atom_site_label
_atom_site_type_symbol
_atom_site_fract_x
_atom_site_fract_y
_atom_site_fract_z
Ni1 Ni 0.000 0.000 0.151
Sb1 Sb 0.000 0.500 0.250
Au1 Au 0.000 0.000 0.500
# * formation energy (no corrections): 183 meV/atom



No. 11
# InCoAg2 GGA-PBEsol optimized geometry
data_InCoAg2
_cell_length_a 3.013
_cell_length_b 3.013
_cell_length_c 7.186
_cell_angle_alpha 90.00
_cell_angle_beta 90.00
_cell_angle_gamma 90.00
_symmetry_space_group_name_H-M 'P 4/m m m'
_symmetry_Int_Tables_number 123
_symmetry_space_group_name_Hall '-P 4 2'
loop_
_atom_site_label
_atom_site_type_symbol
_atom_site_fract_x
_atom_site_fract_y
_atom_site_fract_z
In1 In 0.000 0.000 0.000
Co1 Co 0.000 0.000 0.500
Ag1 Ag 0.500 0.500 0.282
# * energy relative to the elements: 29 kJ/mol of atoms



No. 12
# NbCoBr2 GGA-PBEsol optimized geometry
data_NbCoBr2
_cell_length_a 3.2543
_cell_length_b 3.2543
_cell_length_c 24.9132
_cell_angle_alpha 90.00
_cell_angle_beta 90.00
_cell_angle_gamma 120.00
_symmetry_space_group_name_H-M 'R -3 m'
_symmetry_Int_Tables_number 166
_symmetry_space_group_name_Hall '-R 3 2"'
loop_
_atom_site_label
_atom_site_type_symbol
_atom_site_fract_x
_atom_site_fract_y
_atom_site_fract_z
Nb1 Nb 0.0000 0.0000 0.0000
Co1 Co 0.0000 0.0000 0.5000
Br1 Br 0.0000 0.0000 0.1029
# * distance to the lowest polymorph of the same formula: 0 meV per atom
# * formation energy (no corrections): 379 meV/atom



No. 13
# KHgPb2 GGA-PBEsol optimized geometry
data_KHgPb2
_cell_length_a 6.646
_cell_length_b 10.666
_cell_length_c 3.283
_cell_angle_alpha 90.00
_cell_angle_beta 90.00
_cell_angle_gamma 90.00
_symmetry_space_group_name_H-M 'C m m m'
_symmetry_Int_Tables_number 65
_symmetry_space_group_name_Hall '-C 2 2'
loop_
_atom_site_label
_atom_site_type_symbol
_atom_site_fract_x
_atom_site_fract_y
_atom_site_fract_z
K1 K 0.000 0.000 0.000
Hg1 Hg 0.000 0.500 0.000
Pb1 Pb 0.250 0.250 0.500
# * energy relative to the elements: -1 kJ/mol of atoms



No. 14
# SmVO4 GGA-PBEsol optimized geometry
data_SmVO4
_cell_length_a 7.248
_cell_length_b 7.248
_cell_length_c 6.329
_cell_angle_alpha 90.00
_cell_angle_beta 90.00
_cell_angle_gamma 90.00
_symmetry_space_group_name_H-M 'I 41/a m d'
_symmetry_Int_Tables_number 141
loop_
_symmetry_equiv_pos_as_xyz
'x,y,z'
'-x,-y,-z'
'-y+1/4,x+3/4,z+1/4'
'y+1/4,-x+3/4,-z+1/4'
'-x+1/2,-y,z+1/2'
'x+1/2,y,-z+1/2'
'y+1/4,-x+1/4,z+3/4'
'-y+1/4,x+1/4,-z+3/4'
'x,-y,-z'
'-x,y,z'
'-y+1/4,-x+1/4,-z+3/4'
'y+1/4,x+1/4,z+3/4'
'-x+1/2,y,-z+1/2'
'x+1/2,-y,z+1/2'
'y+1/4,x+3/4,-z+1/4'
'-y+1/4,-x+3/4,z+1/4'
'x+1/2,y+1/2,z+1/2'
'-x+1/2,-y+1/2,-z+1/2'
'-y+3/4,x+1/4,z+3/4'
'y+3/4,-x+1/4,-z+3/4'
'-x,-y+1/2,z'
'x,y+1/2,-z'
'y+3/4,-x+3/4,z+1/4'
'-y+3/4,x+3/4,-z+1/4'
'x+1/2,-y+1/2,-z+1/2'
'-x+1/2,y+1/2,z+1/2'
'-y+3/4,-x+3/4,-z+1/4'
'y+3/4,x+3/4,z+1/4'
'-x,y+1/2,-z'
'x,-y+1/2,z'
'y+3/4,x+1/4,-z+3/4'
'-y+3/4,-x+1/4,z+3/4'
loop_
_atom_site_label
_atom_site_type_symbol
_atom_site_fract_x
_atom_site_fract_y
_atom_site_fract_z
Sm1 Sm 0.000 0.250 0.375
V1 V 0.000 0.250 0.875
O1 O 0.000 0.068 0.703
# * formation energy (no corrections): -3029 meV/atom



No. 15
# CaNb2TcSe GGA-PBEsol optimized geometry
data_CaNb2TcSe
_cell_length_a 4.661
_cell_length_b 4.661
_cell_length_c 4.852
_cell_angle_alpha 90.00
_cell_angle_beta 90.00
_cell_angle_gamma 90.00
_symmetry_space_group_name_H-M 'P 4/m m m'
_symmetry_Int_Tables_number 123
_symmetry_space_group_name_Hall '-P 4 2'
loop_
_atom_site_label
_atom_site_type_symbol
_atom_site_fract_x
_atom_site_fract_y
_atom_site_fract_z
Ca1 Ca 0.000 0.000 0.000
Nb1 Nb 0.000 0.500 0.000
Tc1 Tc 0.500 0.500 0.500
Se1 Se 0.000 0.000 0.500
# * formation energy (no corrections): 2308 meV/atom



No. 16
# Tb2InAu2 GGA-PBEsol optimized geometry
data_Tb2InAu2
_cell_length_a 7.829
_cell_length_b 7.829
_cell_length_c 3.702
_cell_angle_alpha 90.00
_cell_angle_beta 90.00
_cell_angle_gamma 90.00
_symmetry_space_group_name_H-M 'P 4/m b m'
_symmetry_Int_Tables_number 127
_symmetry_space_group_name_Hall '-P 4 2ab'
loop_
_atom_site_label
_atom_site_type_symbol
_atom_site_fract_x
_atom_site_fract_y
_atom_site_fract_z
Tb1 Tb 0.170 0.330 0.000
In1 In 0.000 0.000 0.500
Au1 Au 0.128 0.628 0.500
# * energy relative to the elements: -81 kJ/mol of atoms



No. 17
# TiZnCoP3O12 GGA-PBEsol optimized geometry
data_TiZnCoP3O12
_cell_length_a 8.4242
_cell_length_b 8.4242
_cell_length_c 20.3668
_cell_angle_alpha 90.00
_cell_angle_beta 90.00
_cell_angle_gamma 120.00
_symmetry_space_group_name_H-M 'R 3 c'
_symmetry_Int_Tables_number 161
_symmetry_space_group_name_Hall 'R 3 -2"c'
loop_
_atom_site_label
_atom_site_type_symbol
_atom_site_fract_x
_atom_site_fract_y
_atom_site_fract_z
Ti1 Ti 0.0000 0.0000 0.0000
Zn1 Zn 0.0000 0.0000 0.3570
Co1 Co 0.0000 0.0000 0.2187
P1 P 0.0471 0.3738 0.2762
O1 O 0.0243 0.1791 0.2814
O2 O 0.1434 0.4714 0.3385
O3 O 0.1500 0.4730 0.2134
O4 O 0.1657 0.4802 0.6005
# * formation energy (no corrections): -2076 meV/atom



No. 18
# TeAsIr GGA-PBEsol optimized geometry
data_TeAsIr
_cell_length_a 3.047
_cell_length_b 3.047
_cell_length_c 12.868
_cell_angle_alpha 90.00
_cell_angle_beta 90.00
_cell_angle_gamma 90.00
_symmetry_space_group_name_H-M 'I 4 m m'
_symmetry_Int_Tables_number 107
_symmetry_space_group_name_Hall 'I 4 -2'
loop_
_atom_site_label
_atom_site_type_symbol
_atom_site_fract_x
_atom_site_fract_y
_atom_site_fract_z
Te1 Te 0.000 0.000 0.000
As1 As 0.000 0.000 0.727
Ir1 Ir 0.000 0.000 0.334
# * formation energy (no corrections): 145 meV/atom



No. 19
# NiRh2 GGA-PBEsol optimized geometry
data_NiRh2
_cell_length_a 9.554
_cell_length_b 2.659
_cell_length_c 6.158
_cell_angle_alpha 90.00
_cell_angle_beta 105.34
_cell_angle_gamma 90.00
_symmetry_space_group_name_H-M 'C 1 2/m 1'
_symmetry_Int_Tables_number 12
loop_
_symmetry_equiv_pos_as_xyz
'x,y,z'
'-x,-y,-z'
'-x,y,-z'
'x,-y,z'
'x+1/2,y+1/2,z'
'-x+1/2,-y+1/2,-z'
'-x+1/2,y+1/2,-z'
'x+1/2,-y+1/2,z'
loop_
_atom_site_label
_atom_site_type_symbol
_atom_site_fract_x
_atom_site_fract_y
_atom_site_fract_z
Ni1 Ni 0.028 0.000 0.307
Rh1 Rh 0.138 0.500 0.030
Rh2 Rh 0.189 0.500 0.632
# * energy relative to the elements: 6 kJ/mol of atoms
# * distance to the lowest polymorph of the same formula: 30 meV per atom



No. 20
# NaRe3Si GGA-PBEsol optimized geometry
data_NaRe3Si
_cell_length_a 4.402
_cell_length_b 4.402
_cell_length_c 4.402
_cell_angle_alpha 90.00
_cell_angle_beta 90.00
_cell_angle_gamma 90.00
_symmetry_space_group_name_H-M 'P m -3 m'
_symmetry_Int_Tables_number 221
_symmetry_space_group_name_Hall '-P 4 2 3'
loop_
_atom_site_label
_atom_site_type_symbol
_atom_site_fract_x
_atom_site_fract_y
_atom_site_fract_z
Na1 Na 0.000 0.000 0.000
Re1 Re 0.000 0.000 0.500
Si1 Si 0.500 0.500 0.500
# * formation energy (no corrections): 3327 meV/atom



No. 21
# BaPdIO2 GGA-PBEsol optimized geometry
data_BaPdIO2
_cell_length_a 4.278
_cell_length_b 4.278
_cell_length_c 7.292
_cell_angle_alpha 90.00
_cell_angle_beta 90.00
_cell_angle_gamma 90.00
_symmetry_space_group_name_H-M 'P 4/m m m'
_symmetry_Int_Tables_number 123
_symmetry_space_group_name_Hall '-P 4 2'
loop_
_atom_site_label
_atom_site_type_symbol
_atom_site_fract_x
_atom_site_fract_y
_atom_site_fract_z
Ba1 Ba 0.000 0.000 0.000
Pd1 Pd 0.500 0.500 0.500
I1 I 0.000 0.000 0.500
O1 O 0.000 0.500 0.000
# * formation energy (no corrections): -59 meV/atom



No. 22
# BaAl2Te GGA-PBEsol optimized geometry
data_BaAl2Te
_cell_length_a 8.606
_cell_length_b 8.606
_cell_length_c 6.641
_cell_angle_alpha 90.00
_cell_angle_beta 90.00
_cell_angle_gamma 90.00
_symmetry_space_group_name_H-M 'I -4 2 d'
_symmetry_Int_Tables_number 122
_symmetry_space_group_name_Hall 'I -4 2bw'
loop_
_atom_site_label
_atom_site_type_symbol
_atom_site_fract_x
_atom_site_fract_y
_atom_site_fract_z
Ba1 Ba 0.000 0.000 0.000
Al1 Al 0.206 0.250 0.625
Te1 Te 0.000 0.000 0.500
# * formation energy (no corrections): -131 meV/atom



No. 23
# Nb3ClO7 GGA-PBEsol optimized geometry
data_Nb3ClO7
_cell_length_a 15.711
_cell_length_b 10.974
_cell_length_c 3.877
_cell_angle_alpha 90.00
_cell_angle_beta 90.00
_cell_angle_gamma 90.00
_symmetry_space_group_name_H-M 'P n m a'
_symmetry_Int_Tables_number 62
loop_
_symmetry_equiv_pos_as_xyz
'x,y,z'
'-x,-y,-z'
'-x+1/2,-y,z+1/2'
'x+1/2,y,-z+1/2'
'x+1/2,-y+1/2,-z+1/2'
'-x+1/2,y+1/2,z+1/2'
'-x,y+1/2,-z'
'x,-y+1/2,z'
loop_
_atom_site_label
_atom_site_type_symbol
_atom_site_fract_x
_atom_site_fract_y
_atom_site_fract_z
Nb1 Nb 0.030 0.250 0.047
Nb2 Nb 0.165 0.537 0.001
Cl1 Cl 0.241 0.750 0.008
O1 O 0.025 0.250 0.518
O2 O 0.067 0.626 0.993
O3 O 0.114 0.116 0.007
O4 O 0.201 0.530 0.502
# * formation energy (no corrections): -2386 meV/atom



No. 24
# TbZnSn GGA-PBEsol optimized geometry
data_TbZnSn
_cell_length_a 4.5593
_cell_length_b 4.5593
_cell_length_c 7.2170
_cell_angle_alpha 90.00
_cell_angle_beta 90.00
_cell_angle_gamma 120.00
_symmetry_space_group_name_H-M 'P 63/m m c'
_symmetry_Int_Tables_number 194
_symmetry_space_group_name_Hall '-P 6c 2c'
loop_
_atom_site_label
_atom_site_type_symbol
_atom_site_fract_x
_atom_site_fract_y
_atom_site_fract_z
Tb1 Tb 0.0000 0.0000 0.0000
Zn1 Zn 0.3333 0.6667 0.2500
Sn1 Sn 0.3333 0.6667 0.7500
# * energy relative to the elements: -57 kJ/mol of atoms



| no. | electronic total energy (eV/atom) | ρ (g/cm3) |
| --- | --- | --- |
| 1 | -7.407 | 9.1 |
| 2 | -6.938 | 5.8 |
| 3 | -5.044 | 6.7 |
| 4 | -13.090 | 16.8 |
| 5 | -1.469 | 2.9 |
| 6 | -3.101 | 5.6 |
| 7 | -5.681 | 9.5 |
| 8 | -3.375 | 6.7 |
| 9 | -5.890 | 12.4 |
| 10 | -4.888 | 10.2 |
| 11 | -4.032 | 9.9 |
| 12 | -5.195 | 6.8 |
| 13 | -2.431 | 9.3 |
| 14 | -8.983 | 5.3 |
| 15 | -5.470 | 6.3 |
| 16 | -5.011 | 12.1 |
| 17 | -7.521 | 3.6 |
| 18 | -6.007 | 11.0 |
| 19 | -7.414 | 11.6 |
| 20 | -6.101 | 11.9 |
| 21 | -4.133 | 5.0 |
| 22 | -3.595 | 4.3 |
| 23 | -8.860 | 4.2 |
| 24 | -4.204 | 8.8 |